# Dy3Sc2Hg3

Crystalline Dy3Sc2Hg3 at its relaxed geometry (PBE-GGA, Alexandria via LeMat-Bulk).

Output
raw total energy = -3.77 eV per atom
total magnetic moment = 0.00 μB/cell
DFT formation energy = -348 meV/atom
volume = 204.4 Å³/f.u.
mass density = 9.579 Mg/m³

```
data_Dy3Sc2Hg3
_chemical_formula_sum 'Dy6 Sc4 Hg6'
_cell_length_a 3.660
_cell_length_b 5.182
_cell_length_c 21.556
_cell_angle_alpha 90.00
_cell_angle_beta 90.00
_cell_angle_gamma 90.00
_space_group_name_H-M_alt 'I m m m'
_space_group_IT_number 71
_space_group_name_Hall '-I 2 2'
loop_
_atom_site_label
_atom_site_type_symbol
_atom_site_fract_x
_atom_site_fract_y
_atom_site_fract_z
Dy1 Dy 0.000 0.000 0.000
Dy2 Dy 0.000 0.500 0.125
Sc1 Sc 0.000 0.000 0.236
Hg1 Hg 0.000 0.000 0.500
Hg2 Hg 0.000 0.500 0.373
```

=====

# Dy2ScHg2

Crystalline Dy2ScHg2 at its relaxed geometry (PBE-GGA, Alexandria via LeMat-Bulk).

Output
raw total energy = -3.57 eV per atom
total magnetic moment = 0.00 μB/cell
DFT formation energy = -343 meV/atom
volume = 126.7 Å³/f.u.
mass density = 10.104 Mg/m³

```
data_Dy2ScHg2
_chemical_formula_sum 'Dy4 Sc2 Hg4'
_cell_length_a 3.687
_cell_length_b 5.143
_cell_length_c 13.494
_cell_angle_alpha 90.00
_cell_angle_beta 97.90
_cell_angle_gamma 90.00
_space_group_name_H-M_alt 'P 1 21/m 1'
_space_group_IT_number 11
_space_group_name_Hall '-P 2yb'
loop_
_atom_site_label
_atom_site_type_symbol
_atom_site_fract_x
_atom_site_fract_y
_atom_site_fract_z
Dy1 Dy 0.046 0.250 0.093
Dy2 Dy 0.236 0.250 0.472
Sc1 Sc 0.148 0.750 0.297
Hg1 Hg 0.357 0.750 0.713
Hg2 Hg 0.447 0.250 0.891
```